(1)
Below is an optimized crystal structure of LiSiAu2, with properties calculated at the PBE level.

Computed properties:
The value obtained for the calculated volume is 66.0 Å³/cell. Its total energy is -0.1317 Ha/atom. The calculation puts the uncorrected formation energy at -11 kJ/mol of atoms.

a b c (Å): 4.5354 4.5354 4.5354
angles (deg): 60.00 60.00 60.00
Atoms (fractional coordinates):
Au 0.0000 0.0000 0.0000
Au 0.2500 0.2500 0.2500
Li 0.5000 0.5000 0.5000
Si 0.7500 0.7500 0.7500

---

(2)
Below is an optimized crystal structure of Li3Si2Au3, with properties calculated at the PBE level.

Computed properties:
The value obtained for the calculated volume is 581.5 Å³/cell. Its total energy is -0.1338 Ha/atom. The calculation puts the uncorrected formation energy at -33 kJ/mol of atoms.

a b c (Å): 5.2057 7.5159 14.8620
angles (deg): 90.00 90.00 90.00
Atoms (fractional coordinates):
Li 0.1057 0.4856 0.3913
Li 0.6057 0.0144 0.6087
Li 0.8943 0.5144 0.8913
Li 0.3943 0.9856 0.1087
Li 0.8943 0.5144 0.6087
Li 0.3943 0.9856 0.3913
Li 0.1057 0.4856 0.1087
Li 0.6057 0.0144 0.8913
Li 0.6167 0.3539 0.2500
Li 0.1167 0.1461 0.7500
Li 0.3833 0.6461 0.7500
Li 0.8833 0.8539 0.2500
Si 0.9090 0.1384 0.3892
Si 0.4090 0.3616 0.6108
Si 0.0910 0.8616 0.8892
Si 0.5910 0.6384 0.1108
Si 0.0910 0.8616 0.6108
Si 0.5910 0.6384 0.3892
Si 0.9090 0.1384 0.1108
Si 0.4090 0.3616 0.8892
Au 0.1187 0.2011 0.2500
Au 0.6187 0.2989 0.7500
Au 0.8813 0.7989 0.7500
Au 0.3813 0.7011 0.2500
Au 0.6082 0.3398 0.4567
Au 0.1082 0.1602 0.5433
Au 0.3918 0.6602 0.9567
Au 0.8918 0.8398 0.0433
Au 0.3918 0.6602 0.5433
Au 0.8918 0.8398 0.4567
Au 0.6082 0.3398 0.0433
Au 0.1082 0.1602 0.9567

---

(3)
Below is an optimized crystal structure of Li14SiAu, with properties calculated at the PBE level.

Computed properties:
The value obtained for the calculated volume is 277.2 Å³/cell. Its total energy is -0.0863 Ha/atom. The calculation puts the uncorrected formation energy at -13 kJ/mol of atoms.

a b c (Å): 6.2977 6.2977 6.9892
angles (deg): 90.00 90.00 90.00
Atoms (fractional coordinates):
Li 0.8750 0.8750 0.0000
Li 0.3750 0.3750 0.0000
Li 0.8750 0.3750 0.5000
Li 0.8750 0.3750 0.0000
Li 0.3750 0.8750 0.5000
Li 0.3750 0.8750 0.0000
Li 0.6301 0.1199 0.2776
Li 0.6301 0.1199 0.7224
Li 0.1199 0.6301 0.2776
Li 0.1199 0.6301 0.7224
Li 0.6300 0.6300 0.2776
Li 0.6300 0.6300 0.7224
Li 0.1200 0.1200 0.2776
Li 0.1200 0.1200 0.7224
Si 0.8750 0.8750 0.5000
Au 0.3750 0.3750 0.5000

---

(4)
Below is an optimized crystal structure of Li3SiAu, with properties calculated at the PBE level.

Computed properties:
The energy above the most stable polymorph in this dataset comes out at 51.2 kJ per mole of atoms. The value obtained for the calculated volume is 104.4 Å³/cell. Its total energy is -0.1000 Ha/atom. The calculation puts the uncorrected formation energy at 16 kJ/mol of atoms.

a b c (Å): 4.7088 4.7088 4.7088
angles (deg): 90.00 90.00 90.00
Atoms (fractional coordinates):
Si 0.5000 0.5000 0.5000
Au 0.0000 0.0000 0.0000
Li 0.0000 0.5000 0.0000
Li 0.0000 0.0000 0.5000
Li 0.5000 0.0000 0.0000

---

(5)
Below is an optimized crystal structure of Li2Si2Au, with properties calculated at the PBE level.

Computed properties:
The value obtained for the calculated volume is 86.2 Å³/cell. Its total energy is -0.1412 Ha/atom. The calculation puts the uncorrected formation energy at -24 kJ/mol of atoms.

a b c (Å): 4.1330 5.2685 5.2685
angles (deg): 57.09 66.91 66.91
Atoms (fractional coordinates):
Li 0.8011 0.6989 0.6989
Li 0.1989 0.3011 0.3011
Si 0.5000 0.7285 0.2715
Si 0.5000 0.2715 0.7285
Au 0.0000 0.0000 0.0000

---

(6)
Below is an optimized crystal structure of Li2SiAu, with properties calculated at the PBE level.

Computed properties:
The value obtained for the calculated volume is 133.9 Å³/cell. Its total energy is -0.1174 Ha/atom. The calculation puts the uncorrected formation energy at -6 kJ/mol of atoms.

a b c (Å): 7.2875 7.2875 5.7369
angles (deg): 50.57 50.57 90.00
Atoms (fractional coordinates):
Si 0.5000 0.5000 0.0000
Si 0.2500 0.7500 0.5000
Au 0.0000 0.0000 0.0000
Au 0.7500 0.2500 0.5000
Li 0.6302 0.1250 0.2500
Li 0.1198 0.6250 0.2500
Li 0.3750 0.3698 0.7500
Li 0.8750 0.8802 0.7500

---

(7)
Below is an optimized crystal structure of LiSiAu, with properties calculated at the PBE level.

Computed properties:
The value obtained for the calculated volume is 48.3 Å³/cell. Its total energy is -0.1421 Ha/atom. The calculation puts the uncorrected formation energy at -32 kJ/mol of atoms.

a b c (Å): 4.3019 4.3019 3.0145
angles (deg): 90.00 90.00 120.00
Atoms (fractional coordinates):
Li 0.0000 0.0000 0.0000
Si 0.6667 0.3333 0.5000
Au 0.3333 0.6667 0.5000

---

(8)
Below is an optimized crystal structure of Li2SiAu6, with properties calculated at the PBE level.

Computed properties:
The energy above the most stable polymorph in this dataset comes out at 39.8 kJ per mole of atoms. The value obtained for the calculated volume is 362.9 Å³/cell. Its total energy is -0.1128 Ha/atom. The calculation puts the uncorrected formation energy at 14 kJ/mol of atoms.

a b c (Å): 5.4032 5.4032 12.4309
angles (deg): 90.00 90.00 90.00
Atoms (fractional coordinates):
Li 0.5000 0.5000 0.3281
Li 0.5000 0.5000 0.6719
Li 0.0000 0.0000 0.1719
Li 0.0000 0.0000 0.8281
Si 0.5000 0.5000 0.0000
Si 0.0000 0.0000 0.5000
Au 0.6867 0.6867 0.1602
Au 0.6867 0.6867 0.8398
Au 0.6809 0.6809 0.5000
Au 0.8191 0.1809 0.0000
Au 0.8133 0.1867 0.3398
Au 0.8133 0.1867 0.6602
Au 0.1867 0.8133 0.3398
Au 0.1867 0.8133 0.6602
Au 0.1809 0.8191 0.0000
Au 0.3191 0.3191 0.5000
Au 0.3133 0.3133 0.1602
Au 0.3133 0.3133 0.8398

---

(9)
Below is an optimized crystal structure of Li2SiAu6, with properties calculated at the PBE level.

Computed properties:
The energy above the most stable polymorph in this dataset comes out at 0.0 kJ per mole of atoms. The value obtained for the calculated volume is 338.5 Å³/cell. Its total energy is -0.1280 Ha/atom. The calculation puts the uncorrected formation energy at -26 kJ/mol of atoms.

a b c (Å): 6.8545 5.7230 8.8888
angles (deg): 90.00 76.13 90.00
Atoms (fractional coordinates):
Li 0.9133 0.5000 0.7065
Li 0.5867 0.0000 0.7935
Li 0.4133 0.0000 0.2065
Li 0.0867 0.5000 0.2935
Si 0.5000 0.5000 0.0000
Si 0.0000 0.0000 0.5000
Au 0.9674 0.0000 0.2314
Au 0.7159 0.7468 0.4857
Au 0.7840 0.7533 0.0143
Au 0.7160 0.2533 0.4857
Au 0.7841 0.2468 0.0143
Au 0.5326 0.5000 0.2686
Au 0.0326 0.0000 0.7686
Au 0.2841 0.2532 0.5143
Au 0.2160 0.2467 0.9857
Au 0.2840 0.7467 0.5143
Au 0.2159 0.7532 0.9857
Au 0.4674 0.5000 0.7314

---

(10)
Below is an optimized crystal structure of Li3SiAu, with properties calculated at the PBE level.

Computed properties:
The energy above the most stable polymorph in this dataset comes out at 0.0 kJ per mole of atoms. The value obtained for the calculated volume is 146.9 Å³/cell. Its total energy is -0.1195 Ha/atom. The calculation puts the uncorrected formation energy at -35 kJ/mol of atoms.

a b c (Å): 3.9125 5.9266 6.3475
angles (deg): 86.34 90.00 90.00
Atoms (fractional coordinates):
Li 0.6244 0.7857 0.5874
Li 0.6244 0.0186 0.1581
Li 0.1244 0.5047 0.6613
Li 0.1244 0.3127 0.0599
Li 0.1244 0.0798 0.4892
Li 0.6244 0.5938 0.9859
Si 0.6244 0.4142 0.3683
Si 0.1244 0.6842 0.2790
Au 0.6244 0.2183 0.7439
Au 0.1244 0.8802 0.9033

---

(11)
Below is an optimized crystal structure of Li2SiAu, with properties calculated at the PBE level.

Computed properties:
The value obtained for the calculated volume is 70.2 Å³/cell. Its total energy is -0.1131 Ha/atom. The calculation puts the uncorrected formation energy at 5 kJ/mol of atoms.

a b c (Å): 5.6866 5.6866 5.6866
angles (deg): 56.00 145.33 137.46
Atoms (fractional coordinates):
Li 0.0000 0.2503 0.2503
Li 0.0000 0.7497 0.7497
Si 0.0000 0.0000 0.0000
Au 0.0000 0.5000 0.5000

---

(12)
Below is an optimized crystal structure of LiSiAu, with properties calculated at the PBE level.

Computed properties:
The value obtained for the calculated volume is 100.9 Å³/cell. Its total energy is -0.1442 Ha/atom. The calculation puts the uncorrected formation energy at -37 kJ/mol of atoms.

a b c (Å): 5.3398 5.3397 4.2517
angles (deg): 113.64 113.65 74.62
Atoms (fractional coordinates):
Si 0.8844 0.6094 0.3886
Si 0.5141 0.9798 0.3887
Au 0.1046 0.7311 0.0607
Au 0.6359 0.2000 0.0608
Li 0.4891 0.5852 0.6796
Li 0.0664 0.1604 0.7572